Record 1
Here is crystalline RbMg2Tc2 at its relaxed geometry from Alexandria. Energies are from GGA-PBE.

abc: 8.783 8.783 2.837
angles: 90.00 90.00 90.00
Element x y z (fractional)
Rb  0.000  0.000  0.000
Rb  0.500  0.500  0.000
Mg  0.182  0.318  0.000
Mg  0.318  0.818  0.000
Mg  0.682  0.182  0.000
Mg  0.818  0.682  0.000
Tc  0.093  0.593  0.500
Tc  0.407  0.093  0.500
Tc  0.593  0.907  0.500
Tc  0.907  0.407  0.500

## Properties
**Energy relative to the elements**: 0.619 eV per atom
**DOS(E_F)**: 6.1 states/eV/cell
**Relative energy among the computed polymorphs**: 84 meV per atom
**Space-group type**: No. 127
**Volume**: 21.88 Å³/atom



Record 2
Here is crystalline RbMg3Te3 at its relaxed geometry from Alexandria. Energies are from GGA-PBE.

abc: 10.047 10.047 10.047
angles: 49.61 49.61 49.61
Element x y z (fractional)
Rb  0.167  0.167  0.167
Rb  0.833  0.833  0.833
Mg  0.051  0.701  0.373
Mg  0.299  0.627  0.949
Mg  0.373  0.051  0.701
Mg  0.627  0.949  0.299
Mg  0.701  0.373  0.051
Mg  0.949  0.299  0.627
Te  0.061  0.404  0.741
Te  0.259  0.939  0.596
Te  0.404  0.741  0.061
Te  0.596  0.259  0.939
Te  0.741  0.061  0.404
Te  0.939  0.596  0.259

## Properties
**DOS(E_F)**: 8.3 states/eV/cell
**Raw formation energy**: -0.73 eV/atom
**Space-group type**: No. 148
**Volume**: 38.63 Å³/atom



Record 3
Here is crystalline Rb3MgTe2 at its relaxed geometry from Alexandria. Energies are from GGA-PBE.

abc: 10.236 10.236 10.236
angles: 131.57 74.71 126.87
Element x y z (fractional)
Rb  0.014  0.750  0.264
Rb  0.250  0.250  0.000
Rb  0.486  0.750  0.736
Rb  0.514  0.250  0.264
Rb  0.750  0.750  0.000
Rb  0.986  0.250  0.736
Mg  0.000  0.500  0.500
Mg  0.500  0.000  0.500
Te  0.121  0.749  0.870
Te  0.379  0.249  0.628
Te  0.621  0.751  0.372
Te  0.879  0.251  0.130

## Properties
**DOS(E_F)**: 6.1 states/eV/cell
**Raw formation energy**: -0.70 eV/atom
**Space-group type**: No. 72
**Volume**: 52.12 Å³/atom



Record 4
Here is crystalline RbMgTe3 at its relaxed geometry from Alexandria. Energies are from GGA-PBE.

abc: 5.646 5.646 5.646
angles: 90.00 90.00 90.00
Element x y z (fractional)
Rb  0.000  0.000  0.000
Mg  0.500  0.500  0.500
Te  0.000  0.500  0.500
Te  0.500  0.000  0.500
Te  0.500  0.500  0.000

## Properties
**DOS(E_F)**: 6.1 states/eV/cell
**Raw formation energy**: -0.36 eV/atom
**Relative energy among the computed polymorphs**: 0 meV per atom
**Space-group type**: No. 221
**Volume**: 35.99 Å³/atom



Record 5
Here is crystalline RbMgTe3 at its relaxed geometry from Alexandria. Energies are from GGA-PBE.

abc: 6.170 6.170 6.170
angles: 90.00 90.00 90.00
Element x y z (fractional)
Rb  0.000  0.000  0.000
Mg  0.500  0.500  0.500
Te  0.000  0.000  0.500
Te  0.000  0.500  0.000
Te  0.500  0.000  0.000

## Properties
**DOS(E_F)**: 9.4 states/eV/cell
**Raw formation energy**: 0.83 eV/atom
**Relative energy among the computed polymorphs**: 1191 meV per atom
**Space-group type**: No. 221
**Volume**: 46.98 Å³/atom



Record 6
Here is crystalline Rb2MgTe2 at its relaxed geometry from Alexandria. Energies are from GGA-PBE.

abc: 8.396 8.396 5.525
angles: 90.00 90.00 90.00
Element x y z (fractional)
Rb  0.139  0.361  0.000
Rb  0.361  0.861  0.000
Rb  0.639  0.139  0.000
Rb  0.861  0.639  0.000
Mg  0.000  0.000  0.500
Mg  0.500  0.500  0.500
Te  0.180  0.680  0.500
Te  0.320  0.180  0.500
Te  0.680  0.820  0.500
Te  0.820  0.320  0.500

## Properties
**DOS(E_F)**: 0.0 states/eV/cell
**Raw formation energy**: -0.71 eV/atom
**Space-group type**: No. 127
**Volume**: 38.94 Å³/atom



Record 7
Here is crystalline Rb2Mg2Te3 at its relaxed geometry from Alexandria. Energies are from GGA-PBE.

abc: 12.388 12.388 7.926
angles: 108.24 108.24 83.40
Element x y z (fractional)
Rb  0.064  0.936  0.750
Rb  0.212  0.788  0.250
Rb  0.309  0.487  0.425
Rb  0.487  0.309  0.925
Rb  0.513  0.691  0.075
Rb  0.691  0.513  0.575
Rb  0.788  0.212  0.750
Rb  0.936  0.064  0.250
Mg  0.038  0.574  0.736
Mg  0.149  0.302  0.800
Mg  0.302  0.149  0.300
Mg  0.426  0.962  0.764
Mg  0.574  0.038  0.236
Mg  0.698  0.851  0.700
Mg  0.851  0.698  0.200
Mg  0.962  0.426  0.264
Te  0.058  0.648  0.443
Te  0.096  0.244  0.088
Te  0.244  0.096  0.588
Te  0.257  0.512  0.924
Te  0.352  0.942  0.057
Te  0.488  0.743  0.576
Te  0.512  0.257  0.424
Te  0.648  0.058  0.943
Te  0.743  0.488  0.076
Te  0.756  0.904  0.412
Te  0.904  0.756  0.912
Te  0.942  0.352  0.557

## Properties
**DOS(E_F)**: 0.0 states/eV/cell
**Raw formation energy**: -1.00 eV/atom
**Relative energy among the computed polymorphs**: 0 meV per atom
**Space-group type**: No. 15
**Volume**: 39.18 Å³/atom



Record 8
Here is crystalline Rb2MgTe3 at its relaxed geometry from Alexandria. Energies are from GGA-PBE.

abc: 7.945 4.917 25.997
angles: 90.00 90.00 90.00
Element x y z (fractional)
Rb  0.152  0.250  0.079
Rb  0.246  0.750  0.779
Rb  0.254  0.250  0.279
Rb  0.348  0.750  0.579
Rb  0.652  0.250  0.421
Rb  0.746  0.750  0.721
Rb  0.754  0.250  0.221
Rb  0.848  0.750  0.921
Mg  0.036  0.750  0.450
Mg  0.464  0.250  0.950
Mg  0.536  0.750  0.050
Mg  0.964  0.250  0.550
Te  0.053  0.250  0.656
Te  0.104  0.750  0.181
Te  0.213  0.250  0.472
Te  0.287  0.750  0.972
Te  0.396  0.250  0.681
Te  0.447  0.750  0.156
Te  0.553  0.250  0.844
Te  0.604  0.750  0.319
Te  0.713  0.250  0.028
Te  0.787  0.750  0.528
Te  0.896  0.250  0.819
Te  0.947  0.750  0.344

## Properties
**Raw formation energy**: -0.82 eV/atom
**Space-group type**: No. 62
**Volume**: 42.31 Å³/atom



Record 9
Here is crystalline Rb2Mg2Te3 at its relaxed geometry from Alexandria. Energies are from GGA-PBE.

abc: 8.154 8.154 9.152
angles: 122.20 122.20 33.25
Element x y z (fractional)
Rb  0.064  0.064  0.342
Rb  0.936  0.936  0.658
Mg  0.306  0.306  0.933
Mg  0.694  0.694  0.067
Te  0.313  0.313  0.252
Te  0.500  0.500  0.000
Te  0.687  0.687  0.748

## Properties
**DOS(E_F)**: 0.0 states/eV/cell
**Raw formation energy**: -0.99 eV/atom
**Relative energy among the computed polymorphs**: 8 meV per atom
**Space-group type**: No. 12
**Volume**: 39.62 Å³/atom



Record 10
Here is crystalline RbMg2Te at its relaxed geometry from Alexandria. Energies are from GGA-PBE.

abc: 7.553 7.553 7.553
angles: 101.66 101.66 126.57
Element x y z (fractional)
Rb  0.000  0.000  0.000
Rb  0.750  0.250  0.500
Mg  0.198  0.625  0.073
Mg  0.375  0.448  0.573
Mg  0.552  0.125  0.927
Mg  0.875  0.802  0.427
Te  0.250  0.750  0.500
Te  0.500  0.500  0.000

## Properties
**DOS(E_F)**: 8.3 states/eV/cell
**Raw formation energy**: -0.17 eV/atom
**Space-group type**: No. 122
**Volume**: 38.65 Å³/atom



Record 11
Here is crystalline Rb3MgTe at its relaxed geometry from Alexandria. Energies are from GGA-PBE.

abc: 7.042 7.042 7.042
angles: 90.00 90.00 90.00
Element x y z (fractional)
Rb  0.000  0.000  0.500
Rb  0.000  0.500  0.000
Rb  0.500  0.000  0.000
Mg  0.500  0.500  0.500
Te  0.000  0.000  0.000

## Properties
**DOS(E_F)**: 5.6 states/eV/cell
**Raw formation energy**: -0.30 eV/atom
**Relative energy among the computed polymorphs**: 0 meV per atom
**Space-group type**: No. 221
**Volume**: 69.83 Å³/atom



Record 12
Here is crystalline RbMg3Te at its relaxed geometry from Alexandria. Energies are from GGA-PBE.

abc: 5.907 5.907 5.907
angles: 90.00 90.00 90.00
Element x y z (fractional)
Rb  0.000  0.000  0.000
Mg  0.000  0.500  0.500
Mg  0.500  0.000  0.500
Mg  0.500  0.500  0.000
Te  0.500  0.500  0.500

## Properties
**DOS(E_F)**: 4.5 states/eV/cell
**Raw formation energy**: 0.22 eV/atom
**Relative energy among the computed polymorphs**: 0 meV per atom
**Space-group type**: No. 221
**Volume**: 41.21 Å³/atom